Record 1
NaScGe | PBE | optimized geometry

Lattice parameters (Å, degrees): 4.652 7.358 4.651 90.00 120.01 90.00
Sites, in units of the cell vectors:
Na: 0.782 0.908 0.293
Na: 0.115 0.718 0.960
Sc: 0.448 0.183 0.626
Sc: 0.782 0.422 0.293
Ge: 0.115 0.174 0.960
Ge: 0.448 0.559 0.627

Calculated total energy in eV/cell: -26.26
Space group: P3m1 (156)


Record 2
NaScGe | PBE | optimized geometry

Lattice parameters (Å, degrees): 7.722 4.596 8.001 90.00 90.00 90.00
Sites, in units of the cell vectors:
Ge: 0.296 0.750 0.897
Ge: 0.704 0.250 0.103
Ge: 0.796 0.750 0.603
Ge: 0.204 0.250 0.397
Na: 0.481 0.250 0.669
Na: 0.981 0.250 0.831
Na: 0.019 0.750 0.169
Na: 0.519 0.750 0.331
Sc: 0.650 0.750 0.919
Sc: 0.850 0.250 0.419
Sc: 0.350 0.250 0.081
Sc: 0.150 0.750 0.581

Calculated total energy in eV/cell: -53.22
Space group: Pnma (62)


Record 3
NaScGe | PBE | optimized geometry

Lattice parameters (Å, degrees): 4.806 4.806 3.523 90.00 90.00 120.00
Sites, in units of the cell vectors:
Ge: 0.333 0.667 0.000
Sc: 0.000 0.000 0.000
Na: 0.667 0.333 0.500

Calculated total energy in eV/cell: -12.39
Space group: P-6m2 (187)


Record 4
Na3ScGe | PBE | optimized geometry

Lattice parameters (Å, degrees): 5.824 5.824 5.824 90.00 90.00 90.00
Site moments in Bohr magnetons follow the coordinates.
Sites, in units of the cell vectors:
Na: 0.000 0.500 0.000  0.03
Na: 0.500 0.000 0.000  0.02
Na: 0.000 0.000 0.500  0.03
Ge: 0.500 0.500 0.500  -0.13
Sc: 0.000 0.000 0.000  0.93

Calculated total energy in eV/cell: -9.16
Space group: Pm-3m (221)
Relative energy among the computed polymorphs in meV/atom: 570.2


Record 5
NaScGe | PBE | optimized geometry

Lattice parameters (Å, degrees): 8.503 8.503 8.503 32.01 32.01 32.01
Sites, in units of the cell vectors:
Sc: 0.624 0.624 0.624
Sc: 0.376 0.376 0.376
Ge: 0.737 0.737 0.737
Ge: 0.263 0.263 0.263
Na: 0.131 0.131 0.131
Na: 0.869 0.869 0.869

Calculated total energy in eV/cell: -26.39
Space group: R-3m (166)


Record 6
NaScGe | PBE | optimized geometry

Lattice parameters (Å, degrees): 5.848 5.848 7.143 90.00 90.00 141.54
Sites, in units of the cell vectors:
Sc: 0.500 0.500 0.500
Sc: 0.500 0.500 0.000
Ge: 0.930 0.070 0.250
Ge: 0.070 0.930 0.750
Na: 0.782 0.218 0.750
Na: 0.218 0.782 0.250

Calculated total energy in eV/cell: -26.04
Space group: Cmcm (63)


no.,calculated formation energy (eV per atom),Fermi-level density of states (states/eV/cell),mass density (kg/m³)
1,-0.287,0.00,3387
2,-0.345,0.00,3288
3,-0.039,0.69,3313
4,1.150,9.08,1568
5,-0.309,0.00,3042
6,-0.251,2.51,3073